Entry 1:
Below is ErCrRu after structural relaxation, with properties calculated at the PBE level.

a = 6.6811 Å, b = 6.6811 Å, c = 5.8677 Å
α = 90.00°, β = 90.00°, γ = 90.00°
Last column: nearest neighbours and their distance in Å.
Space group P4_12_12 (No. 92)
Symmetry-distinct sites (fractional):
Er  0.2365  0.2365  0.0000 [4 per cell]  3 Ru 2.79-2.94, 2 Cr 3.00
Cr  0.1973  0.8027  0.7500 [4 per cell]  3 Ru 2.31-2.44
Ru  0.0582  0.0582  0.5000 [4 per cell]  3 Cr 2.31-2.44

Formation energy from the elements (eV per atom): 0.2822
ρ (g cm⁻³): 8.1

Entry 2:
Below is ErCrSnRu after structural relaxation, with properties calculated at the PBE level.

a = 6.6248 Å, b = 6.6248 Å, c = 6.6248 Å
α = 90.00°, β = 90.00°, γ = 90.00°
Last column: nearest neighbours and their distance in Å.
Space group F-43m (No. 216)
Symmetry-distinct sites (fractional):
Er  0.0000  0.0000  0.0000 [4 per cell]  4 Cr 2.87, 4 Ru 2.87
Cr  0.2500  0.2500  0.7500 [4 per cell]  4 Sn 2.87, 4 Er 2.87
Sn  0.0000  0.0000  0.5000 [4 per cell]  4 Ru 2.87, 4 Cr 2.87
Ru  0.2500  0.2500  0.2500 [4 per cell]  4 Er 2.87, 4 Sn 2.87

Formation energy from the elements (eV per atom): -0.2324
ρ (g cm⁻³): 10.0